1.
{"formula": "LiTiRe2Mo", "functional": "PBEsol", "state": "relaxed", "lattice": [[4.6564, 0.0000, 0.0000], [0.0000, 4.6564, 0.0000], [0.0000, 0.0000, 4.6900]], "species": ["Li", "Ti", "Re", "Re", "Mo"], "fractional_positions": [[0.0000, 0.0000, 0.0000], [0.5000, 0.5000, 0.0000], [0.0000, 0.5000, 0.5000], [0.5000, 0.0000, 0.5000], [0.5000, 0.5000, 0.5000]], "energy_ev_per_cell": -40.7, "spacegroup": "P4/mmm (123)", "crystal_system": "tetragonal", "formation_enthalpy_0k_ev_per_fu": 8.0}



2.
{"formula": "LiMoRh2", "functional": "PBEsol", "state": "relaxed", "lattice": [[2.8598, 0.0000, 0.0000], [0.0000, 2.8598, 0.0000], [0.0000, 0.0000, 6.3624]], "species": ["Li", "Mo", "Rh", "Rh"], "fractional_positions": [[0.0000, 0.0000, 0.0000], [0.0000, 0.0000, 0.5000], [0.5000, 0.5000, 0.2313], [0.5000, 0.5000, 0.7687]], "de_polymorph_kj_per_mol_fu": 0, "energy_ev_per_cell": -30.6, "spacegroup": "P4/mmm (123)", "crystal_system": "tetragonal", "formation_enthalpy_0k_ev_per_fu": -0.6}



3.
{"formula": "LiMo2Rh", "functional": "PBEsol", "state": "relaxed", "lattice": [[-1.8057, 1.8057, 4.2348], [1.8057, -1.8057, 4.2348], [1.8057, 1.8057, -4.2348]], "species": ["Li", "Mo", "Mo", "Rh"], "fractional_positions": [[0.0000, 0.0000, 0.0000], [0.2500, 0.7500, 0.5000], [0.7500, 0.2500, 0.5000], [0.5000, 0.5000, 0.0000]], "de_polymorph_kj_per_mol_fu": 0, "energy_ev_per_cell": -32.9, "spacegroup": "I4/mmm (139)", "crystal_system": "tetragonal", "formation_enthalpy_0k_ev_per_fu": 0.7}



4.
{"formula": "LiMoRh2", "functional": "PBEsol", "state": "relaxed", "lattice": [[3.1351, 0.0000, 0.0000], [0.0000, 3.1351, 0.0000], [0.0000, 0.0000, 5.4423]], "species": ["Li", "Mo", "Rh", "Rh"], "fractional_positions": [[0.0000, 0.0000, 0.0000], [0.5000, 0.5000, 0.2665], [0.0000, 0.0000, 0.5057], [0.5000, 0.5000, 0.8259]], "de_polymorph_kj_per_mol_fu": 111, "energy_ev_per_cell": -29.5, "spacegroup": "P4mm (99)", "crystal_system": "tetragonal", "formation_enthalpy_0k_ev_per_fu": 0.5}